## Ba2SnPd4 (GGA-PBE)

Data for a relaxed Ba2SnPd4 crystal.

Properties
- energy relative to the lowest polymorph listed for this composition (eV per formula unit) = 0.000
- calculated volume (Å³/cell) = 195
- uncorrected energy (eV per atom) = -4.573
- ΔH_f (0 K) (eV per formula unit) = -3.39
- density (Mg/m³) = 7.0
- density of states at the Fermi level (states/eV per cell) = 2.903
- total magnetic moment (μB per formula unit) = 0.0

Lattice parameters (Å, degrees): 6.808 6.413 6.364 64.40 58.16 57.45
Sites, in units of the cell vectors:
Ba (0.250, 0.250, 0.250)
Ba (0.750, 0.750, 0.750)
Sn (0.000, 0.000, 0.000)
Pd (0.270, 0.730, 0.270)
Pd (0.318, 0.682, 0.682)
Pd (0.682, 0.318, 0.318)
Pd (0.730, 0.270, 0.730)


## ReOsRh2 (GGA-PBE)

Data for a relaxed ReOsRh2 crystal.

Properties
- energy relative to the lowest polymorph listed for this composition (eV per formula unit) = 1.706
- calculated volume (Å³/cell) = 59
- uncorrected energy (eV per atom) = -9.228
- ΔH_f (0 K) (eV per formula unit) = 1.47
- density (Mg/m³) = 16.5
- density of states at the Fermi level (states/eV per cell) = 2.811
- total magnetic moment (μB per formula unit) = 0.0

Lattice parameters (Å, degrees): 4.362 4.362 4.362 60.00 60.00 60.00
Sites, in units of the cell vectors:
Re (0.000, 0.000, 0.000)
Os (0.250, 0.250, 0.250)
Rh (0.500, 0.500, 0.500)
Rh (0.750, 0.750, 0.750)


## Rb2In2Sn3 (GGA-PBE)

Data for a relaxed Rb2In2Sn3 crystal.

Properties
- calculated volume (Å³/cell) = 238
- uncorrected energy (eV per atom) = -2.910
- ΔH_f (0 K) (eV per formula unit) = -0.95
- density (Mg/m³) = 5.3
- density of states at the Fermi level (states/eV per cell) = 3.291
- total magnetic moment (μB per formula unit) = 0.0

Lattice parameters (Å, degrees): 7.035 7.035 8.363 116.55 116.55 40.88
Sites, in units of the cell vectors:
Rb (0.155, 0.155, 0.304)
Rb (0.845, 0.845, 0.696)
In (0.152, 0.152, 0.779)
In (0.848, 0.848, 0.221)
Sn (0.409, 0.409, 0.064)
Sn (0.500, 0.500, 0.500)
Sn (0.591, 0.591, 0.936)


## Zn8Cu2Au (GGA-PBE)

Data for a relaxed Zn8Cu2Au crystal.

Properties
- energy relative to the lowest polymorph listed for this composition (eV per formula unit) = 0.560
- calculated volume (Å³/cell) = 171
- uncorrected energy (eV per atom) = -1.979
- ΔH_f (0 K) (eV per formula unit) = -0.11
- density (Mg/m³) = 8.2
- density of states at the Fermi level (states/eV per cell) = 2.580
- total magnetic moment (μB per formula unit) = 0.0

Lattice parameters (Å, degrees): 6.762 6.762 4.665 99.77 99.77 121.47
Sites, in units of the cell vectors:
Zn (0.095, 0.325, 0.664)
Zn (0.228, 0.772, 0.000)
Zn (0.325, 0.095, 0.664)
Zn (0.417, 0.417, 0.218)
Zn (0.583, 0.583, 0.782)
Zn (0.675, 0.905, 0.336)
Zn (0.772, 0.228, 0.000)
Zn (0.905, 0.675, 0.336)
Cu (0.301, 0.699, 0.500)
Cu (0.699, 0.301, 0.500)
Au (0.000, 0.000, 0.000)


## Nd5Tm12Sc2 (GGA-PBE)

Data for a relaxed Nd5Tm12Sc2 crystal.

Properties
- calculated volume (Å³/cell) = 599
- uncorrected energy (eV per atom) = -4.567
- ΔH_f (0 K) (eV per formula unit) = 3.39
- density (Mg/m³) = 7.9
- density of states at the Fermi level (states/eV per cell) = 28.953
- total magnetic moment (μB per formula unit) = 0.0

Lattice parameters (Å, degrees): 9.849 9.849 9.818 110.29 110.29 42.67
Sites, in units of the cell vectors:
Nd (0.000, 0.000, 0.000)
Nd (0.191, 0.191, 0.697)
Nd (0.317, 0.317, 0.293)
Nd (0.683, 0.683, 0.707)
Nd (0.809, 0.809, 0.303)
Tm (0.015, 0.015, 0.715)
Tm (0.088, 0.591, 0.994)
Tm (0.091, 0.595, 0.635)
Tm (0.405, 0.909, 0.365)
Tm (0.409, 0.912, 0.006)
Tm (0.500, 0.500, 0.185)
Tm (0.500, 0.500, 0.815)
Tm (0.591, 0.088, 0.994)
Tm (0.595, 0.091, 0.635)
Tm (0.909, 0.405, 0.365)
Tm (0.912, 0.409, 0.006)
Tm (0.985, 0.985, 0.285)
Sc (0.303, 0.697, 0.500)
Sc (0.697, 0.303, 0.500)


## AlZn2Pb (GGA-PBE)

Data for a relaxed AlZn2Pb crystal.

Properties
- energy relative to the lowest polymorph listed for this composition (eV per formula unit) = 0.665
- calculated volume (Å³/cell) = 84
- uncorrected energy (eV per atom) = -2.192
- ΔH_f (0 K) (eV per formula unit) = 1.23
- density (Mg/m³) = 7.2
- density of states at the Fermi level (states/eV per cell) = 3.406
- total magnetic moment (μB per formula unit) = 0.0

Lattice parameters (Å, degrees): 4.923 4.923 4.923 60.00 60.00 60.00
Sites, in units of the cell vectors:
Al (0.000, 0.000, 0.000)
Zn (0.500, 0.500, 0.500)
Zn (0.750, 0.750, 0.750)
Pb (0.250, 0.250, 0.250)


## NaLa2Mn (GGA-PBE)

Data for a relaxed NaLa2Mn crystal.

Properties
- energy relative to the lowest polymorph listed for this composition (eV per formula unit) = 0.000
- calculated volume (Å³/cell) = 117
- uncorrected energy (eV per atom) = -4.750
- ΔH_f (0 K) (eV per formula unit) = 1.34
- density (Mg/m³) = 5.0
- density of states at the Fermi level (states/eV per cell) = 4.828
- total magnetic moment (μB per formula unit) = 3.0

Lattice parameters (Å, degrees): 5.498 5.498 5.498 60.00 60.00 60.00
Sites, in units of the cell vectors:
Na (0.000, 0.000, 0.000)
La (0.250, 0.250, 0.250)
La (0.750, 0.750, 0.750)
Mn (0.500, 0.500, 0.500)


## TbPrCd4 (GGA-PBE)

Data for a relaxed TbPrCd4 crystal.

Properties
- energy relative to the lowest polymorph listed for this composition (eV per formula unit) = 0.304
- calculated volume (Å³/cell) = 151
- uncorrected energy (eV per atom) = -2.462
- ΔH_f (0 K) (eV per formula unit) = -1.70
- density (Mg/m³) = 8.3
- density of states at the Fermi level (states/eV per cell) = 3.600
- total magnetic moment (μB per formula unit) = 0.0

Lattice parameters (Å, degrees): 5.975 5.975 5.975 60.00 60.00 60.00
Sites, in units of the cell vectors:
Tb (0.000, 0.000, 0.000)
Pr (0.250, 0.250, 0.250)
Cd (0.125, 0.625, 0.625)
Cd (0.625, 0.125, 0.625)
Cd (0.625, 0.625, 0.125)
Cd (0.625, 0.625, 0.625)


## Ba12SrAg6 (GGA-PBE)

Data for a relaxed Ba12SrAg6 crystal.

Properties
- calculated volume (Å³/cell) = 911
- uncorrected energy (eV per atom) = -2.361
- ΔH_f (0 K) (eV per formula unit) = -2.99
- density (Mg/m³) = 4.3
- density of states at the Fermi level (states/eV per cell) = 17.927
- total magnetic moment (μB per formula unit) = 0.0

Lattice parameters (Å, degrees): 10.577 10.577 10.577 109.47 109.47 109.47
Sites, in units of the cell vectors:
Ba (0.126, 0.816, 0.310)
Ba (0.184, 0.310, 0.494)
Ba (0.184, 0.690, 0.874)
Ba (0.310, 0.126, 0.816)
Ba (0.310, 0.494, 0.184)
Ba (0.494, 0.184, 0.310)
Ba (0.506, 0.816, 0.690)
Ba (0.690, 0.506, 0.816)
Ba (0.690, 0.874, 0.184)
Ba (0.816, 0.310, 0.126)
Ba (0.816, 0.690, 0.506)
Ba (0.874, 0.184, 0.690)
Sr (0.000, 0.000, 0.000)
Ag (0.117, 0.617, 0.500)
Ag (0.383, 0.500, 0.883)
Ag (0.500, 0.117, 0.617)
Ag (0.500, 0.883, 0.383)
Ag (0.617, 0.500, 0.117)
Ag (0.883, 0.383, 0.500)


## HoErSb2 (GGA-PBE)

Data for a relaxed HoErSb2 crystal.

Properties
- energy relative to the lowest polymorph listed for this composition (eV per formula unit) = 0.240
- calculated volume (Å³/cell) = 121
- uncorrected energy (eV per atom) = -5.390
- density (Mg/m³) = 7.9
- density of states at the Fermi level (states/eV per cell) = 0.744
- total magnetic moment (μB per formula unit) = 0.0

Lattice parameters (Å, degrees): 4.339 4.339 7.410 90.00 90.00 120.00
Sites, in units of the cell vectors:
Ho (0.000, 0.000, 0.000)
Er (0.000, 0.000, 0.500)
Sb (0.333, 0.667, 0.749)
Sb (0.667, 0.333, 0.251)


## Ce2PrAs2Rh7 (GGA-PBE)

Data for a relaxed Ce2PrAs2Rh7 crystal.

Properties
- calculated volume (Å³/cell) = 222
- uncorrected energy (eV per atom) = -7.150
- ΔH_f (0 K) (eV per formula unit) = -8.40
- density (Mg/m³) = 9.7
- density of states at the Fermi level (states/eV per cell) = 8.910
- total magnetic moment (μB per formula unit) = 0.2

Lattice parameters (Å, degrees): 4.131 4.131 13.262 98.36 98.36 89.62
Sites, in units of the cell vectors:
Ce (0.154, 0.154, 0.347)
Ce (0.846, 0.846, 0.653)
Pr (0.000, 0.000, 0.000)
As (0.377, 0.377, 0.732)
As (0.623, 0.623, 0.268)
Rh (0.078, 0.578, 0.169)
Rh (0.293, 0.293, 0.539)
Rh (0.422, 0.922, 0.831)
Rh (0.500, 0.500, 0.000)
Rh (0.578, 0.078, 0.169)
Rh (0.707, 0.707, 0.461)
Rh (0.922, 0.422, 0.831)